Material: HgS2Cl6
Method: DFT, PBE
State: optimized geometry

The calculated total energy is -82.33 eV for the cell shown. The calculation puts the formation energy from raw total energies at -105 meV/atom. As for the total magnetization: 2.00 μB/f.u.

It has space group C2/c (No. 15), with a = 11.958 Å, b = 11.401 Å, c = 8.087 Å, α = 90.00°, β = 94.39° and γ = 90.00°. The inequivalent atoms are Hg at (0.000, 0.078, 0.250), S at (0.086, 0.491, 0.296), Cl at (0.122, 0.339, 0.821), Cl at (0.123, 0.236, 0.368) and Cl at (0.127, 0.068, 0.892).

***

Material: Hg2SbPt
Method: DFT, PBE
State: optimized geometry

The calculated total energy is -22.36 eV for the cell shown. The calculation puts the formation energy from raw total energies at -103 meV/atom. As for the total magnetization: 0.00 μB/f.u.

It has space group Cm (No. 8), with a = 6.533 Å, b = 3.805 Å, c = 8.341 Å, α = 90.00°, β = 105.01° and γ = 90.00°. The inequivalent atoms are Hg at (0.000, 0.000, 0.000), Hg at (0.240, 0.000, 0.727), Sb at (0.271, 0.500, 0.314) and Pt at (0.496, 0.000, 0.495).

***

Material: BeV2ZnPb
Method: DFT, PBE
State: optimized geometry

The calculated total energy is -19.40 eV for the cell shown. As for the total magnetization: 6.21 μB/f.u. For the formation enthalpy at 0 K, the calculation gives 1.5093 eV/atom.

It has space group P4/mmm (No. 123), with a = 4.773 Å, b = 4.773 Å, c = 5.079 Å, α = 90.00°, β = 90.00° and γ = 90.00°. The inequivalent atoms are Be at (0.000, 0.000, 0.000), V at (0.000, 0.500, 0.500), Zn at (0.500, 0.500, 0.500) and Pb at (0.500, 0.500, 0.000).